[1]
Entry from Alexandria via LeMat-Bulk: a relaxed MgAsPb3 crystal (GGA-PBE).

Geometry as POSCAR:
```
MgAsPb3
1.0
-2.2455 4.8485 -1.7528
0.7102 -1.6027 -5.3432
-5.1065 -2.3550 0.0276
Mg Pb As
1 3 1
direct
0.5000 0.5000 0.5000
0.0000 0.0000 0.5000
0.5000 0.0000 0.0000
0.0000 0.5000 0.0000
0.0000 0.0000 0.0000
```

Relative energy among the computed polymorphs (meV per atom): 0.0
Magnetic moment (μB per atom): 0.00
Calculated formation energy (meV per atom): 423
Space group: Pm-3m

[2]
Entry from Alexandria via LeMat-Bulk: a relaxed Zr6Ga5As crystal (GGA-PBE).

Geometry as POSCAR:
```
Zr6Ga5As
1.0
6.7597 0.1548 0.0000
2.0521 6.4254 0.0000
1.0260 3.2127 5.7874
Ga Zr As
5 6 1
direct
0.0000 0.6659 0.6681
0.5000 0.1675 0.6650
0.5000 0.5000 0.0000
0.0000 0.3341 0.3319
0.5000 0.8325 0.3350
0.2446 0.2446 0.0000
0.7554 0.7554 0.0000
0.2457 0.9189 0.6722
0.7543 0.0811 0.3278
0.2457 0.5911 0.3278
0.7543 0.4089 0.6722
0.0000 0.0000 0.0000
```

Magnetic moment (μB per atom): 0.00
Calculated formation energy (meV per atom): -499
Space group: C2/m

[3]
Entry from Alexandria via LeMat-Bulk: a relaxed KZnHF2 crystal (GGA-PBE).

Geometry as POSCAR:
```
KZnHF2
1.0
-1.5363 -0.3507 -4.0564
-1.7698 -3.8470 1.0028
-2.9450 1.6092 0.9763
F K Zn H
2 1 1 1
direct
0.0000 0.5000 0.0000
0.5000 0.0000 0.0000
0.5000 0.5000 0.4999
0.0000 0.0000 0.0000
0.0000 0.0000 0.5000
```

Uncorrected energy (eV per atom): -3.65
Magnetic moment (μB per atom): 0.00
Space group: P4/mmm

[4]
Entry from Alexandria via LeMat-Bulk: a relaxed Dy2ThMg9 crystal (GGA-PBE).

Geometry as POSCAR:
```
Dy2ThMg9
1.0
-0.5625 3.9203 -4.5405
-5.4436 1.2012 -2.2860
-3.0857 8.9456 4.1085
Mg Dy Th
9 2 1
direct
0.5000 0.5000 0.5000
0.4136 0.9210 0.2519
0.5864 0.0790 0.7481
0.5864 0.5864 0.7481
0.6659 0.6659 0.0022
0.4136 0.4136 0.2519
0.0790 0.5864 0.7481
0.9210 0.4136 0.2519
0.3341 0.3341 0.9978
0.8572 0.8572 0.4285
0.1428 0.1428 0.5715
0.0000 0.0000 0.0000
```

Magnetic moment (μB per atom): 0.00
Calculated formation energy (meV per atom): -1
Space group: R-3m

[5]
Entry from Alexandria via LeMat-Bulk: a relaxed Ce2AsPPd6 crystal (GGA-PBE).

Geometry as POSCAR:
```
Ce2AsPPd6
1.0
5.5121 0.0000 0.0000
0.0000 8.2076 0.0000
0.0000 0.0000 8.7275
Pd P Ce As
12 2 4 2
direct
0.2491 0.0021 0.5000
0.0000 0.8767 0.7503
0.7473 0.4772 0.5000
0.2509 0.9979 0.0000
0.7491 0.9979 0.0000
0.7527 0.5228 0.0000
0.5000 0.1233 0.7497
0.2527 0.4772 0.5000
0.5000 0.1233 0.2503
0.2473 0.5228 0.0000
0.7509 0.0021 0.5000
0.0000 0.8767 0.2497
0.5000 0.2451 0.5000
0.0000 0.7549 0.0000
0.5000 0.7371 0.7447
0.0000 0.2629 0.2447
0.0000 0.2629 0.7553
0.5000 0.7371 0.2553
0.5000 0.2737 0.0000
0.0000 0.7263 0.5000
```

Magnetic moment (μB per atom): 0.20
Calculated formation energy (meV per atom): -712
Space group: Pmmn

[6]
Entry from Alexandria via LeMat-Bulk: a relaxed SrLaB crystal (GGA-PBE).

Geometry as POSCAR:
```
SrLaB
1.0
10.0484 -0.0006 0.0011
-0.3282 5.7312 -0.0085
0.6245 -0.9157 3.1493
La Sr B
2 2 2
direct
0.7104 0.9366 0.9148
0.2124 0.9385 0.1325
0.4587 0.4302 0.7532
0.9628 0.4445 0.5332
0.9823 0.9655 0.7770
0.9396 0.9292 0.2831
```

Relative energy among the computed polymorphs (meV per atom): 59.2
Magnetic moment (μB per atom): 0.00
Calculated formation energy (meV per atom): 80
Space group: P1

[7]
Entry from Alexandria via LeMat-Bulk: a relaxed Sm2Dy2Y crystal (GGA-PBE).

Geometry as POSCAR:
```
Sm2Dy2Y
1.0
9.3205 0.0000 0.0000
0.0000 9.3205 0.0000
0.0000 0.0000 3.7825
Sm Dy Y
4 4 2
direct
0.8700 0.3700 0.0000
0.3700 0.1300 0.0000
0.1300 0.6300 0.0000
0.6300 0.8700 0.0000
0.8312 0.6688 0.5000
0.3312 0.8312 0.5000
0.1688 0.3312 0.5000
0.6688 0.1688 0.5000
0.0000 0.0000 0.0000
0.5000 0.5000 0.0000
```

Relative energy among the computed polymorphs (meV per atom): 0.0
Magnetic moment (μB per atom): 0.00
Calculated formation energy (meV per atom): 85
Space group: P4/mbm

[8]
Entry from Alexandria via LeMat-Bulk: a relaxed Sm2PuSe4 crystal (GGA-PBE).

Geometry as POSCAR:
```
Sm2PuSe4
1.0
4.0987 0.0000 0.0000
-2.0493 6.8545 0.0000
0.0000 0.0000 13.9795
Pu Sm Se
2 4 8
direct
0.3798 0.7595 0.2500
0.6202 0.2405 0.7500
0.8671 0.7342 0.5690
0.8671 0.7342 0.9310
0.1329 0.2658 0.0690
0.1329 0.2658 0.4310
0.5000 0.0000 0.0000
0.2249 0.4499 0.6238
0.9664 0.9328 0.7500
0.0336 0.0672 0.2500
0.7751 0.5501 0.1238
0.5000 0.0000 0.5000
0.2249 0.4499 0.8762
0.7751 0.5501 0.3762
```

Relative energy among the computed polymorphs (meV per atom): 14.2
Magnetic moment (μB per atom): 0.80
Uncorrected formation energy (eV per atom): -1.74
Space group: Cmcm

[9]
Entry from Alexandria via LeMat-Bulk: a relaxed LiPr2Zr crystal (GGA-PBE).

Geometry as POSCAR:
```
LiPr2Zr
1.0
-1.3815 0.3541 -3.0167
-3.2878 -0.4167 -0.3887
-3.3014 11.7174 1.0418
Zr Li Pr
1 1 2
direct
0.0000 0.0000 0.0000
0.5000 0.5000 0.5000
0.9141 0.9141 0.2578
0.0859 0.0859 0.7422
```

Relative energy among the computed polymorphs (meV per atom): 262.3
Magnetic moment (μB per atom): 0.10
Calculated formation energy (meV per atom): 375
Space group: R-3m

[10]
Entry from Alexandria via LeMat-Bulk: a relaxed BaPrSn4 crystal (GGA-PBE).

Geometry as POSCAR:
```
BaPrSn4
1.0
6.3957 0.0000 0.0000
3.1979 5.5389 0.0000
3.1979 1.8463 5.2221
Sn Ba Pr
4 1 1
direct
0.6236 0.6236 0.1292
0.6236 0.6236 0.6236
0.6236 0.1292 0.6236
0.1292 0.6236 0.6236
0.0000 0.0000 0.0000
0.2500 0.2500 0.2500
```

Magnetic moment (μB per atom): 0.00
Calculated formation energy (meV per atom): -420
Space group: F-43m

[11]
Entry from Alexandria via LeMat-Bulk: a relaxed SnPSe4 crystal (GGA-PBE).

Geometry as POSCAR:
```
SnPSe4
1.0
-2.4318 -0.3512 -2.7831
4.6088 -2.4443 -3.7187
-2.7512 -12.6080 3.9949
Sn Se P
2 8 2
direct
0.0000 0.0000 0.5000
0.5000 0.5000 0.0000
0.0001 0.6930 0.8841
0.4999 0.1550 0.8882
0.9999 0.3450 0.6118
0.5001 0.8450 0.1118
0.5001 0.8070 0.6159
0.0001 0.6550 0.3882
0.4999 0.1930 0.3841
0.9999 0.3070 0.1159
0.0000 0.0000 0.0000
0.5000 0.5000 0.5000
```

Magnetic moment (μB per atom): 0.00
Uncorrected formation energy (eV per atom): -0.09
Space group: C2/m

[12]
Entry from Alexandria via LeMat-Bulk: a relaxed LiPW2 crystal (GGA-PBE).

Geometry as POSCAR:
```
LiPW2
1.0
4.2848 0.0059 0.0000
-0.0171 4.2847 0.0000
-2.1339 -2.1453 3.0337
P Li W
1 1 2
direct
0.7500 0.2500 0.5000
0.5000 0.5000 0.0000
0.0000 0.0000 0.0000
0.2500 0.7500 0.5000
```

Magnetic moment (μB per atom): 0.00
Calculated formation energy (meV per atom): 175
Space group: I-4m2

[13]
Entry from Alexandria via LeMat-Bulk: a relaxed Tb3TlNi8 crystal (GGA-PBE).

Geometry as POSCAR:
```
Tb3TlNi8
1.0
4.8360 0.0000 1.4599
2.1977 4.3078 1.4599
-0.0133 -0.0081 8.7839
Ni Tb Tl
8 3 1
direct
0.9373 0.4361 0.6894
0.9412 0.4370 0.1848
0.4361 0.9373 0.6894
0.4370 0.4370 0.1848
0.1877 0.1877 0.4370
0.6880 0.6880 0.9361
0.9373 0.9373 0.6894
0.4370 0.9412 0.1848
0.3765 0.3765 0.8706
0.9954 0.9954 0.0139
0.5041 0.5041 0.4877
0.8726 0.8726 0.3823
```

Magnetic moment (μB per atom): 0.00
Calculated formation energy (meV per atom): -359
Space group: R3m

[14]
Entry from Alexandria via LeMat-Bulk: a relaxed PaTlAg crystal (GGA-PBE).

Geometry as POSCAR:
```
PaTlAg
1.0
4.5419 -0.0062 0.1396
-0.0717 4.5413 0.1396
-1.1839 -1.2011 7.0784
Ag Pa Tl
2 2 2
direct
0.0000 0.5000 0.0000
0.5000 0.0000 0.0000
0.5746 0.5746 0.3462
0.4254 0.4254 0.6538
0.0588 0.0588 0.2754
0.9412 0.9412 0.7246
```

Relative energy among the computed polymorphs (meV per atom): 97.4
Magnetic moment (μB per atom): 0.00
Calculated formation energy (meV per atom): 266
Space group: C2/m

[15]
Entry from Alexandria via LeMat-Bulk: a relaxed AcCe2Co crystal (GGA-PBE).

Geometry as POSCAR:
```
AcCe2Co
1.0
6.3447 0.0000 0.0000
0.0000 9.7722 0.0000
0.0000 0.0000 14.0534
Ce Ac Co
16 8 8
direct
0.2339 0.4333 0.9607
0.7339 0.9333 0.5393
0.2339 0.0667 0.9607
0.9253 0.9284 0.7886
0.5747 0.9284 0.2886
0.4253 0.4284 0.7114
0.2661 0.0667 0.4607
0.0747 0.4284 0.2114
0.7661 0.5667 0.0393
0.5747 0.5716 0.2886
0.4253 0.0716 0.7114
0.7339 0.5667 0.5393
0.7661 0.9333 0.0393
0.0747 0.0716 0.2114
0.9253 0.5716 0.7886
0.2661 0.4333 0.4607
0.7402 0.2500 0.8991
0.7598 0.2500 0.3991
0.9453 0.2500 0.6461
0.2402 0.7500 0.6009
0.0547 0.7500 0.3539
0.2598 0.7500 0.1009
0.4453 0.7500 0.8539
0.5547 0.2500 0.1461
0.2393 0.2500 0.8288
0.7607 0.7500 0.1712
0.2607 0.2500 0.3288
0.5484 0.7500 0.4216
0.7393 0.7500 0.6712
0.0484 0.2500 0.0784
0.4516 0.2500 0.5784
0.9516 0.7500 0.9216
```

Relative energy among the computed polymorphs (meV per atom): 0.0
Magnetic moment (μB per atom): 0.00
Calculated formation energy (meV per atom): -68
Space group: Pnma

[16]
Entry from Alexandria via LeMat-Bulk: a relaxed CsHg3H6 crystal (GGA-PBE).

Geometry as POSCAR:
```
CsHg3H6
1.0
-6.7614 4.4136 0.8827
0.5127 -2.9335 -7.5570
0.1711 -6.0514 5.4155
H Hg Cs
12 6 2
direct
0.8839 0.0380 0.3139
0.3822 0.8125 0.5348
0.9620 0.6861 0.1161
0.8125 0.5348 0.3822
0.0380 0.3139 0.8839
0.1161 0.9620 0.6861
0.4652 0.6178 0.1875
0.5348 0.3822 0.8125
0.3139 0.8839 0.0380
0.6861 0.1161 0.9620
0.1875 0.4652 0.6178
0.6178 0.1875 0.4652
0.8291 0.2506 0.6732
0.1709 0.7494 0.3268
0.2506 0.6732 0.8291
0.7494 0.3268 0.1709
0.3268 0.1709 0.7494
0.6732 0.8291 0.2506
0.5000 0.5000 0.5000
0.0000 0.0000 0.0000
```

Uncorrected energy (eV per atom): -1.96
Magnetic moment (μB per atom): 0.00
Space group: R-3

[17]
Entry from Alexandria via LeMat-Bulk: a relaxed Cd2HgPb crystal (GGA-PBE).

Geometry as POSCAR:
```
Cd2HgPb
1.0
-2.3089 -1.3813 4.0219
1.9121 -4.5418 -3.3898
7.5363 -0.0447 4.3110
Hg Pb Cd
2 2 4
direct
0.9234 0.8464 0.2500
0.0766 0.1536 0.7500
0.6026 0.2036 0.2500
0.3974 0.7964 0.7500
0.7091 0.4186 0.9163
0.7091 0.4186 0.5837
0.2909 0.5814 0.0837
0.2909 0.5814 0.4163
```

Relative energy among the computed polymorphs (meV per atom): 50.1
Magnetic moment (μB per atom): 0.00
Calculated formation energy (meV per atom): 90
Space group: P2_1/m

[18]
Entry from Alexandria via LeMat-Bulk: a relaxed PrY3Ho4 crystal (GGA-PBE).

Geometry as POSCAR:
```
PrY3Ho4
1.0
3.4348 0.0000 -0.4334
-0.1702 6.5822 -1.3486
-0.2460 -1.0011 11.8789
Y Ho Pr
3 4 1
direct
0.0000 0.5000 0.0000
0.1278 0.8842 0.2555
0.8722 0.1158 0.7445
0.8742 0.6289 0.7483
0.1258 0.3711 0.2517
0.7400 0.2474 0.4800
0.2600 0.7526 0.5200
0.5000 0.0000 0.0000
```

Relative energy among the computed polymorphs (meV per atom): 169.1
Magnetic moment (μB per atom): 0.00
Calculated formation energy (meV per atom): 177
Space group: C2/m

[19]
Entry from Alexandria via LeMat-Bulk: a relaxed HfTa2Cr crystal (GGA-PBE).

Geometry as POSCAR:
```
HfTa2Cr
1.0
3.1465 0.0000 0.0000
0.0000 3.1465 0.0000
0.0000 0.0000 7.0787
Cr Ta Hf
1 2 1
direct
0.5000 0.5000 0.0000
0.0000 0.0000 0.2111
0.0000 0.0000 0.7889
0.5000 0.5000 0.5000
```

Relative energy among the computed polymorphs (meV per atom): 0.0
Magnetic moment (μB per atom): 0.00
Calculated formation energy (meV per atom): 75
Space group: P4/mmm

[20]
Entry from Alexandria via LeMat-Bulk: a relaxed PrSc2Ni crystal (GGA-PBE).

Geometry as POSCAR:
```
PrSc2Ni
1.0
-2.3501 -2.5761 -1.0137
0.4627 -3.4228 1.1213
-5.4850 -0.3455 7.0893
Ni Pr Sc
1 1 2
direct
0.0000 0.0000 0.0000
0.5000 0.5000 0.5000
0.2780 0.2780 0.1659
0.7220 0.7220 0.8341
```

Relative energy among the computed polymorphs (meV per atom): 131.3
Magnetic moment (μB per atom): 0.00
Calculated formation energy (meV per atom): -71
Space group: R-3m